BaCdSb: optimized geometry, GGA-PBE.

Values from the calculation:
ΔE to the lowest computed polymorph: 0.00 eV/f.u.
total DFT energy (no corrections): -2.783 eV per atom

a = 5.355 Å, b = 5.355 Å, c = 5.355 Å
α = 60.00°, β = 60.00°, γ = 60.00°
Element x y z (fractional)
Cd (0.000, 0.000, 0.000)
Ba (0.250, 0.250, 0.250)
Sb (0.750, 0.750, 0.750)